No. 1
Computed, not measured: a relaxed structure of LiGePd2 at the PBE-GGA level of DFT.

Unit cell a=4.0630 b=4.0630 c=3.4466 alpha=90.00 beta=90.00 gamma=90.00
Closest atoms and distances in Å follow each position.
Positions (direct):
Li1 0.5000 0.5000 0.0000  8 Pd 2.66, 4 Ge 2.87
Ge1 0.0000 0.0000 0.0000  8 Pd 2.66, 4 Li 2.87
Pd1 0.5000 0.0000 0.5000  4 Ge 2.66, 4 Li 2.66, 4 Pd 2.87
Pd2 0.0000 0.5000 0.5000  4 Ge 2.66, 4 Li 2.66, 4 Pd 2.87

Results
VASP energy = -4.79 eV per atom
SG = P4/mmm (123)

No. 2
Computed, not measured: a relaxed structure of NdAlO3 at the PBE-GGA level of DFT.

Unit cell a=5.2974 b=5.2974 c=5.2974 alpha=60.56 beta=60.56 gamma=60.56
Closest atoms and distances in Å follow each position.
Positions (direct):
O1 0.2500 0.6984 0.8016  2 Al 1.90
Al1 0.0000 0.0000 0.0000  6 O 1.90
O2 0.8016 0.2500 0.6984  2 Al 1.90
O3 0.6984 0.8016 0.2500  2 Al 1.90
Al2 0.5000 0.5000 0.5000  6 O 1.90
O4 0.7500 0.3016 0.1984  2 Al 1.90
Nd1 0.7500 0.7500 0.7500  9 O 2.40-2.66
O5 0.1984 0.7500 0.3016  2 Al 1.90
O6 0.3016 0.1984 0.7500  2 Al 1.90
Nd2 0.2500 0.2500 0.2500  9 O 2.40-2.66

Results
size of the total moment = 0.0 Bohr magnetons per cell
VASP energy = -7.93 eV per atom
SG = R-3c (167)

No. 3
Computed, not measured: a relaxed structure of DyHo2Mg4Tl2 at the PBE-GGA level of DFT.

Unit cell a=4.6358 b=7.5781 c=7.5781 alpha=120.09 beta=90.00 gamma=90.00
Closest atoms and distances in Å follow each position.
Positions (direct):
Mg1 0.5000 0.2426 0.2426  2 Tl 2.93, 4 Mg 2.95-3.18
Mg2 0.0000 0.0008 0.0008  6 Mg 2.95-2.96, 2 Ho 3.30, 1 Dy 3.30
Dy1 0.0000 0.5642 0.5642  4 Tl 3.23, 3 Mg 3.30-3.36
Ho1 0.0000 0.4356 0.9997  4 Tl 3.22, 3 Mg 3.30-3.36
Mg3 0.5000 0.0000 0.7576  2 Tl 2.93, 4 Mg 2.96-3.18
Ho2 0.0000 0.9997 0.4356  4 Tl 3.22, 3 Mg 3.30-3.36
Mg4 0.5000 0.7576 0.0000  2 Tl 2.93, 4 Mg 2.96-3.18
Tl1 0.5000 0.6667 0.3327  3 Mg 2.93, 4 Ho 3.22, 2 Dy 3.23
Tl2 0.5000 0.3327 0.6667  3 Mg 2.93, 4 Ho 3.22, 2 Dy 3.23

Results
size of the total moment = 0.0 Bohr magnetons per cell
VASP energy = -2.97 eV per atom
SG = Amm2 (38)

No. 4
Computed, not measured: a relaxed structure of Tl2FeBi at the PBE-GGA level of DFT.

Unit cell a=5.2980 b=5.2980 c=5.2980 alpha=60.00 beta=60.00 gamma=60.00
Closest atoms and distances in Å follow each position.
Positions (direct):
Tl1 0.7500 0.7500 0.7500  4 Tl 3.24, 4 Bi 3.24
Fe1 0.2500 0.2500 0.2500  4 Tl 3.24, 4 Bi 3.24
Bi1 0.5000 0.5000 0.5000  4 Tl 3.24, 4 Fe 3.24
Tl2 0.0000 0.0000 0.0000  4 Tl 3.24, 4 Fe 3.24

Results
size of the total moment = 3.0 Bohr magnetons per cell
VASP energy = -3.74 eV per atom
SG = F-43m (216)

No. 5
Computed, not measured: a relaxed structure of TbZrBe2Si2 at the PBE-GGA level of DFT.

Unit cell a=3.7927 b=3.7927 c=7.7164 alpha=90.00 beta=90.00 gamma=120.00
Closest atoms and distances in Å follow each position.
Positions (direct):
Si1 0.3333 0.6667 0.2634  3 Be 2.19
Be1 0.6667 0.3333 0.2715  3 Si 2.19
Zr1 0.0000 0.0000 0.5000  6 Be 2.81, 6 Si 2.85
Tb1 0.0000 0.0000 0.0000  6 Si 2.99, 6 Be 3.03
Be2 0.3333 0.6667 0.7285  3 Si 2.19
Si2 0.6667 0.3333 0.7366  3 Be 2.19

Results
size of the total moment = 0.0 Bohr magnetons per cell
VASP energy = -5.95 eV per atom
SG = P-3m1 (164)

No. 6
Computed, not measured: a relaxed structure of ZrOF2 at the PBE-GGA level of DFT.

Unit cell a=3.3583 b=6.7767 c=5.1249 alpha=111.86 beta=109.13 gamma=90.00
Closest atoms and distances in Å follow each position.
Positions (direct):
F1 0.2213 0.6255 0.4426  3 Zr 2.18-2.37
Zr1 0.9098 0.7196 0.8195  2 O 1.95, 2 F 2.01-2.18
F2 0.1322 0.0121 0.2644  1 Zr 2.01
O1 0.4954 0.3052 0.9909  2 Zr 1.95
F3 0.8678 0.9879 0.7356  1 Zr 2.01
O2 0.5046 0.6948 0.0091  2 Zr 1.95
F4 0.7787 0.3745 0.5574  3 Zr 2.18-2.37
Zr2 0.0903 0.2804 0.1805  2 O 1.95, 2 F 2.01-2.18

Results
size of the total moment = 0.0 Bohr magnetons per cell
VASP energy = -7.63 eV per atom
SG = C2/m (12)

No. 7
Computed, not measured: a relaxed structure of HfCuSnW at the PBE-GGA level of DFT.

Unit cell a=4.6510 b=4.6510 c=4.6510 alpha=60.00 beta=60.00 gamma=60.00
Closest atoms and distances in Å follow each position.
Positions (direct):
Hf1 0.5000 0.5000 0.5000  4 W 2.85, 4 Cu 2.85
W1 0.2500 0.2500 0.2500  4 Hf 2.85, 4 Sn 2.85
Cu1 0.7500 0.7500 0.7500  4 Sn 2.85, 4 Hf 2.85
Sn1 0.0000 0.0000 0.0000  4 W 2.85, 4 Cu 2.85

Results
size of the total moment = 0.0 Bohr magnetons per cell
VASP energy = -7.36 eV per atom
SG = F-43m (216)

No. 8
Computed, not measured: a relaxed structure of LuCuSiAu at the PBE-GGA level of DFT.

Unit cell a=4.6344 b=4.6344 c=4.6344 alpha=60.00 beta=60.00 gamma=60.00
Closest atoms and distances in Å follow each position.
Positions (direct):
Cu1 0.7500 0.7500 0.7500  4 Si 2.84, 4 Au 2.84
Au1 0.5000 0.5000 0.5000  4 Lu 2.84, 4 Cu 2.84
Si1 0.0000 0.0000 0.0000  4 Cu 2.84, 4 Lu 2.84
Lu1 0.2500 0.2500 0.2500  4 Au 2.84, 4 Si 2.84

Results
size of the total moment = 0.0 Bohr magnetons per cell
VASP energy = -4.56 eV per atom
SG = F-43m (216)

No. 9
Computed, not measured: a relaxed structure of NbIrPt at the PBE-GGA level of DFT.

Unit cell a=4.3018 b=4.3018 c=4.3018 alpha=60.00 beta=60.00 gamma=60.00
Closest atoms and distances in Å follow each position.
Positions (direct):
Ir1 0.7500 0.7500 0.7500  4 Nb 2.63
Nb1 0.0000 0.0000 0.0000  4 Pt 2.63, 4 Ir 2.63
Pt1 0.2500 0.2500 0.2500  4 Nb 2.63

Results
formation energy from the elements = -0.15 eV per atom
size of the total moment = 0.0 Bohr magnetons per cell
SG = F-43m (216)

No. 10
Computed, not measured: a relaxed structure of BeReHg at the PBE-GGA level of DFT.

Unit cell a=4.0301 b=4.0301 c=4.0301 alpha=60.00 beta=60.00 gamma=60.00
Closest atoms and distances in Å follow each position.
Positions (direct):
Hg1 0.2500 0.2500 0.2500  4 Be 2.47
Be1 0.0000 0.0000 0.0000  4 Hg 2.47, 4 Re 2.47
Re1 0.7500 0.7500 0.7500  4 Be 2.47

Results
size of the total moment = 0.6 Bohr magnetons per cell
VASP energy = -4.55 eV per atom
SG = F-43m (216)

No. 11
Computed, not measured: a relaxed structure of Zr4Nb2S3N3 at the PBE-GGA level of DFT.

Unit cell a=5.8261 b=5.8261 c=12.3220 alpha=103.55 beta=103.55 gamma=60.18
Closest atoms and distances in Å follow each position.
Positions (direct):
Zr1 0.2101 0.0234 0.5993  3 N 2.24-2.27
Zr2 0.7899 0.9766 0.4007  3 N 2.24-2.27
Nb1 0.4709 0.6237 0.4085  3 N 2.25-2.29
Zr3 0.1434 0.2998 0.4006  3 N 2.25-2.27
S1 0.5825 0.7374 0.7515  2 Nb 2.61-2.65, 4 Zr 2.64-2.68
N1 0.5000 0.0000 0.5000  4 Zr 2.24-2.25, 2 Nb 2.29
S2 0.7374 0.5825 0.2515  2 Nb 2.61-2.65, 4 Zr 2.64-2.68
N2 0.6740 0.1520 0.9997  2 Nb 2.25, 4 Zr 2.25-2.27
S3 0.4175 0.2626 0.2485  2 Nb 2.61-2.65, 4 Zr 2.64-2.68
S4 0.9018 0.0982 0.7500  2 Nb 2.67, 4 Zr 2.69-2.70
S5 0.0982 0.9018 0.2500  2 Nb 2.67, 4 Zr 2.69-2.70
N3 0.8480 0.3260 0.5003  2 Nb 2.25, 4 Zr 2.25-2.27
Nb2 0.3763 0.5291 0.0915  3 N 2.25-2.29
Zr4 0.2998 0.1434 0.9006  3 N 2.25-2.27
Zr5 0.0234 0.2101 0.0993  3 N 2.24-2.27
N4 0.1520 0.6740 0.4997  2 Nb 2.25, 4 Zr 2.25-2.27
Zr6 0.8566 0.7002 0.5994  3 N 2.25-2.27
Zr7 0.7002 0.8566 0.0994  3 N 2.25-2.27
Nb3 0.6237 0.4709 0.9085  3 N 2.25-2.29
Nb4 0.5291 0.3763 0.5915  3 N 2.25-2.29
Zr8 0.9766 0.7899 0.9007  3 N 2.24-2.27
N5 0.3260 0.8480 0.0003  2 Nb 2.25, 4 Zr 2.25-2.27
S6 0.2626 0.4175 0.7485  2 Nb 2.61-2.65, 4 Zr 2.64-2.68
N6 0.0000 0.5000 0.0000  4 Zr 2.24-2.25, 2 Nb 2.29

Results
size of the total moment = 0.0 Bohr magnetons per cell
VASP energy = -9.01 eV per atom
SG = C2/c (15)

No. 12
Computed, not measured: a relaxed structure of NdGeBi at the PBE-GGA level of DFT.

Unit cell a=5.1785 b=5.1785 c=5.1785 alpha=60.00 beta=60.00 gamma=60.00
Closest atoms and distances in Å follow each position.
Positions (direct):
Nd1 0.0000 0.0000 0.0000  4 Ge 3.17, 4 Bi 3.17
Bi1 0.2500 0.2500 0.2500  4 Nd 3.17
Ge1 0.7500 0.7500 0.7500  4 Nd 3.17

Results
size of the total moment = 0.0 Bohr magnetons per cell
VASP energy = -4.58 eV per atom
SG = F-43m (216)

No. 13
Computed, not measured: a relaxed structure of SrYPd at the PBE-GGA level of DFT.

Unit cell a=5.0585 b=5.0585 c=5.0585 alpha=60.00 beta=60.00 gamma=60.00
Closest atoms and distances in Å follow each position.
Positions (direct):
Y1 0.7500 0.7500 0.7500  4 Pd 3.10
Pd1 0.0000 0.0000 0.0000  4 Sr 3.10, 4 Y 3.10
Sr1 0.2500 0.2500 0.2500  4 Pd 3.10

Results
size of the total moment = 0.0 Bohr magnetons per cell
VASP energy = -4.77 eV per atom
SG = F-43m (216)

no.,volume (Å³/f.u.)
1,56.9
2,53.2
3,230.3
4,105.2
5,96.1
6,50.6
7,71.1
8,70.4
9,56.3
10,46.3
11,174.7
12,98.2
13,91.5